Entry from Alexandria: a relaxed structure of Pu2Tl3CuO9 (PBE-GGA).

Lattice parameters (Å, degrees): 5.993 5.993 7.381 90.00 90.00 120.00
Each line ends with the local moment (μB).
Sites, in units of the cell vectors:
Pu  0.333  0.667  0.170  1.70
Pu  0.667  0.333  0.830  1.70
Tl  0.333  0.667  0.652  0.00
Tl  0.000  0.000  0.000  -0.01
Tl  0.667  0.333  0.348  0.00
Cu  0.000  0.000  0.500  -0.34
O  0.825  0.175  0.679  -0.13
O  0.825  0.649  0.679  -0.13
O  0.351  0.175  0.679  -0.13
O  0.649  0.825  0.321  -0.13
O  0.175  0.351  0.321  -0.13
O  0.175  0.825  0.321  -0.13
O  0.500  0.000  0.000  -0.09
O  0.000  0.500  0.000  -0.09
O  0.500  0.500  0.000  -0.09

Output
M_tot ... 0.13 μB/atom
Uncorrected energy ... -7.215 eV per atom
Theoretical density ... 9464 kg/m³